[1]
Sr2CdNiH6: relaxed, PBE.

Values from the calculation:
**Calculated total energy**: -3.293 eV/atom
**Symmetry**: No. 225
**Volume**: 115.5 Å³/f.u.
**Magnetic moment**: 0.000 μB per cell

CIF file:
```
data_Sr2CdNiH6
_chemical_formula_sum 'Sr2 Cd1 Ni1 H6'
_space_group_name_H-M_alt 'P 1'
_space_group_IT_number 1
_cell_length_a 5.466
_cell_length_b 5.466
_cell_length_c 5.466
_cell_angle_alpha 60.00
_cell_angle_beta 60.00
_cell_angle_gamma 60.00
loop_
_space_group_symop_operation_xyz
'x,y,z'
loop_
_atom_site_label
_atom_site_fract_x
_atom_site_fract_y
_atom_site_fract_z
_atom_site_occupancy
Sr1 0.250 0.250 0.250 1
Sr2 0.750 0.750 0.750 1
Cd1 0.000 0.000 0.000 1
Ni1 0.500 0.500 0.500 1
H1 0.283 0.283 0.717 1
H2 0.283 0.717 0.283 1
H3 0.283 0.717 0.717 1
H4 0.717 0.283 0.283 1
H5 0.717 0.283 0.717 1
H6 0.717 0.717 0.283 1
```

***

[2]
CdH2O2: relaxed, PBE.

Values from the calculation:
**Calculated total energy**: -4.507 eV/atom
**Symmetry**: No. 58
**Excess energy over the best structure of this formula in the dataset**: 0.230 eV/f.u.
**Volume**: 48.6 Å³/f.u.

CIF file:
```
data_CdH2O2
_chemical_formula_sum 'Cd2 H4 O4'
_space_group_name_H-M_alt 'P 1'
_space_group_IT_number 1
_cell_length_a 5.151
_cell_length_b 5.564
_cell_length_c 3.393
_cell_angle_alpha 90.00
_cell_angle_beta 90.00
_cell_angle_gamma 90.00
loop_
_space_group_symop_operation_xyz
'x,y,z'
loop_
_atom_site_label
_atom_site_fract_x
_atom_site_fract_y
_atom_site_fract_z
_atom_site_occupancy
Cd1 0.000 0.000 0.000 1
Cd2 0.500 0.500 0.500 1
H1 0.024 0.348 0.500 1
H2 0.476 0.848 0.000 1
H3 0.524 0.152 0.000 1
H4 0.976 0.652 0.500 1
O1 0.137 0.744 0.500 1
O2 0.363 0.244 0.000 1
O3 0.637 0.756 0.000 1
O4 0.863 0.256 0.500 1
```

***

[3]
CdH2O2: relaxed, PBE.

Values from the calculation:
**Calculated total energy**: -4.532 eV/atom
**Symmetry**: No. 12
**Excess energy over the best structure of this formula in the dataset**: 0.107 eV/f.u.
**Volume**: 47.0 Å³/f.u.

CIF file:
```
data_CdH2O2
_chemical_formula_sum 'Cd1 H2 O2'
_space_group_name_H-M_alt 'P 1'
_space_group_IT_number 1
_cell_length_a 3.457
_cell_length_b 3.457
_cell_length_c 4.532
_cell_angle_alpha 90.12
_cell_angle_beta 90.12
_cell_angle_gamma 60.26
loop_
_space_group_symop_operation_xyz
'x,y,z'
loop_
_atom_site_label
_atom_site_fract_x
_atom_site_fract_y
_atom_site_fract_z
_atom_site_occupancy
Cd1 0.000 0.000 0.000 1
H1 0.333 0.333 0.467 1
H2 0.667 0.667 0.533 1
O1 0.334 0.334 0.252 1
O2 0.666 0.666 0.748 1
```